VASP calculation (GGA+U) on Tl2CrPbF6 after structural relaxation.

The structure in CIF format:
```
data_Tl2CrPbF6
_space_group_name_H-M_alt 'P m m n'
_space_group_IT_number 59
_cell_length_a 6.131
_cell_length_b 9.510
_cell_length_c 6.618
_cell_angle_alpha 90.00
_cell_angle_beta 90.00
_cell_angle_gamma 90.00
loop_
_space_group_symop_operation_xyz
'x,y,z'
'-x,-y,-z'
'-x+1/2,-y+1/2,z'
'x+1/2,y+1/2,-z'
'x+1/2,-y,-z'
'-x+1/2,y,z'
'-x,y+1/2,-z'
'x,-y+1/2,z'
loop_
_atom_site_label
_atom_site_type_symbol
_atom_site_fract_x
_atom_site_fract_y
_atom_site_fract_z
Tl1 Tl 0.250 0.024 0.206
Cr1 Cr 0.250 0.750 0.774
Pb1 Pb 0.250 0.250 0.720
F1 F 0.010 0.750 0.991
F2 F 0.012 0.750 0.561
F3 F 0.250 0.001 0.809
```

Raw total energy in eV per atom: -4.90